Entry from OQMD: a relaxed TbGd2Bi3 crystal (PBE).

Properties
- E_tot: -31.53 eV for the cell shown

Unit cell a=4.484 b=4.484 c=11.009 alpha=90.00 beta=90.00 gamma=120.00
Fractional positions:
Bi (0.000, 0.000, 0.000)
Bi (0.333, 0.667, 0.334)
Bi (0.667, 0.333, 0.666)
Gd (0.667, 0.333, 0.167)
Gd (0.333, 0.667, 0.833)
Tb (0.000, 0.000, 0.500)